No. 1
Below is a relaxed structure of ThSeCl, with properties calculated at the PBE-GGA level.

```
ThSeCl
1.0
-0.727 2.228 -3.040
1.568 -3.440 -2.896
-4.599 0.170 1.224
Se Th Cl
1 1 1
Cartesian
-3.004 0.378 -2.075
-0.686 -1.630 -2.351
-0.068 0.209 -0.286
```

Calculated values
- Size of the total moment: 0.000 μB/cell
- Space-group type: No. 156
- ΔE to the lowest computed polymorph: 0.263 eV per atom
- Formation energy from raw total energies: -1.5178 eV/atom

***

No. 2
Below is a relaxed structure of AuCl3F, with properties calculated at the PBE-GGA level.

```
AuCl3F
1.0
-2.223 0.829 8.758
-0.269 -5.090 1.172
5.139 1.203 2.447
Au Cl F
2 6 2
Cartesian
2.499 0.628 1.501
1.388 1.042 5.880
-0.254 -0.517 5.579
2.760 -2.489 7.352
0.564 -0.637 1.245
0.970 -2.605 3.264
1.941 -2.369 11.688
1.536 -0.401 9.668
0.104 -3.292 8.562
2.402 0.287 4.369
```

Calculated values
- Size of the total moment: 0.325 μB/cell
- Space-group type: No. 2
- ΔE to the lowest computed polymorph: 0.000 eV per atom
- Formation energy from raw total energies: -0.3113 eV/atom

***

No. 3
Below is a relaxed structure of MnV2RuN, with properties calculated at the PBE-GGA level.

```
MnV2RuN
1.0
3.930 0.000 0.000
0.000 3.930 0.000
0.000 0.000 3.723
Ru N Mn V
1 1 1 2
Cartesian
1.965 1.965 1.862
0.000 0.000 0.000
0.000 0.000 1.862
0.000 1.965 0.000
1.965 0.000 0.000
```

Calculated values
- Size of the total moment: 0.000 μB/cell
- Space-group type: No. 123
- Formation energy from raw total energies: -0.4362 eV/atom

***

No. 4
Below is a relaxed structure of CsRbS, with properties calculated at the PBE-GGA level.

```
CsRbS
1.0
6.540 0.000 0.000
0.000 5.209 0.000
0.000 -2.605 4.511
Cs S Rb
1 1 1
Cartesian
5.052 2.605 1.504
0.116 0.000 0.000
1.372 0.000 3.007
```

Calculated values
- Size of the total moment: 0.000 μB/cell
- Space-group type: No. 156
- Formation energy from raw total energies: -0.9078 eV/atom

***

No. 5
Below is a relaxed structure of Nd2Sm3PuSe6, with properties calculated at the PBE-GGA level.

```
Nd2Sm3PuSe6
1.0
-0.724 -3.379 2.329
4.616 3.294 6.217
-8.064 4.723 0.617
Nd Sm Pu Se
2 3 1 6
Cartesian
-2.915 2.544 6.515
-1.258 2.093 2.647
1.946 -0.043 4.273
-5.204 0.869 3.372
1.032 3.769 5.790
-0.362 -1.690 1.164
-1.386 5.060 6.913
-0.454 1.249 5.401
-2.786 -0.422 2.249
-7.615 2.146 4.475
3.443 2.492 4.687
-3.718 3.389 3.762
```

Calculated values
- Size of the total moment: 5.951 μB/cell
- Space-group type: No. 12
- Formation energy from raw total energies: -1.7914 eV/atom

***

No. 6
Below is a relaxed structure of Li2ScMo, with properties calculated at the PBE-GGA level.

```
Li2ScMo
1.0
5.513 0.002 0.000
2.817 4.738 0.000
-4.165 -2.370 2.725
Li Mo Sc
2 1 1
Cartesian
0.000 0.000 0.000
4.165 2.370 0.000
1.409 2.369 1.362
2.756 0.001 1.362
```

Calculated values
- Size of the total moment: 1.217 μB/cell
- Formation energy from the elements: 0.4895 eV/atom
- Space-group type: No. 139
- ΔE to the lowest computed polymorph: 0.263 eV per atom

***

No. 7
Below is a relaxed structure of KAlSi2, with properties calculated at the PBE-GGA level.

```
KAlSi2
1.0
5.547 0.046 0.000
-0.298 5.539 0.000
-1.407 -3.936 3.646
K Si Al
1 2 1
Cartesian
3.382 -0.549 1.823
0.474 0.504 0.000
2.150 2.288 0.000
0.459 2.198 1.823
```

Calculated values
- Size of the total moment: 0.000 μB/cell
- Space-group type: No. 71
- Formation energy from raw total energies: 0.3779 eV/atom

***

No. 8
Below is a relaxed structure of CoPtRh2, with properties calculated at the PBE-GGA level.

```
CoPtRh2
1.0
-1.816 4.295 0.313
-3.233 2.716 2.004
2.458 1.666 3.615
Co Pt Rh
1 1 2
Cartesian
-1.288 4.330 2.964
-0.612 2.162 1.506
2.427 1.662 3.585
-1.955 6.528 4.458
```

Calculated values
- Size of the total moment: 2.802 μB/cell
- Formation energy from the elements: 0.0148 eV/atom
- Space-group type: No. 8